Below is crystalline Cs2SnBiTe4 at its relaxed geometry, with properties calculated at the PBE level.

Formation energy from raw total energies in eV/f.u.: -4.3
E in eV per atom: -3.3027

Unit cell a=15.501 b=13.722 c=8.869 alpha=83.71 beta=61.63 gamma=34.66
Fractional positions:
Cs 0.059 0.059 0.691
Cs 0.309 0.309 0.941
Cs 0.691 0.691 0.059
Cs 0.941 0.941 0.309
Sn 0.375 0.375 0.375
Sn 0.625 0.625 0.625
Bi 0.125 0.125 0.125
Bi 0.875 0.875 0.875
Te 0.037 0.340 0.423
Te 0.300 0.577 0.660
Te 0.340 0.037 0.700
Te 0.423 0.700 0.037
Te 0.577 0.300 0.963
Te 0.660 0.963 0.300
Te 0.700 0.423 0.340
Te 0.963 0.660 0.577

---

Below is crystalline HoThTlIr at its relaxed geometry, with properties calculated at the PBE level.

Energy of formation in eV per atom: -0.566
E in eV per atom: -6.3723

Unit cell a=8.361 b=8.361 c=8.361 alpha=28.24 beta=28.24 gamma=28.24
Fractional positions:
Ho 0.000 0.000 0.000
Th 0.206 0.206 0.206
Tl 0.766 0.766 0.766
Ir 0.603 0.603 0.603

---

Which formula does entry 1 have?
Cs2SnBiTe4